The following is a PBE-GGA calculation of an optimized crystal structure of InCo2Ni2, from the Alexandria database.

Computed properties:
* N(E_F): 8.01 states/eV/cell
* energy above the most stable polymorph in this dataset: 55 meV per atom
* total magnetization: 7.952 μB per cell
* calculated formation energy: 25 kJ/mol of atoms

Lattice parameters (Å, degrees): 3.571 3.571 10.730 90.00 90.00 90.00
Space group I4/mmm (No. 139)
One atom of each set of equivalent atoms:
In  0.000  0.000  0.000 (multiplicity 2)
Co  0.000  0.000  0.396 (multiplicity 4)
Ni  0.000  0.500  0.250 (multiplicity 4)

The following is a PBE-GGA calculation of an optimized crystal structure of InCoNi2, from the Alexandria database.

Computed properties:
* N(E_F): 26.55 states/eV/cell
* total magnetization: 6.825 μB per cell
* calculated formation energy: 10 kJ/mol of atoms

Lattice parameters (Å, degrees): 5.955 5.955 5.955 90.00 90.00 90.00
Space group F-43m (No. 216)
One atom of each set of equivalent atoms:
In  0.000  0.000  0.000 (multiplicity 4)
Co  0.250  0.250  0.250 (multiplicity 4)
Ni  0.000  0.000  0.500 (multiplicity 4)
Ni  0.250  0.250  0.750 (multiplicity 4)

The following is a PBE-GGA calculation of an optimized crystal structure of InCoNi2, from the Alexandria database.

Computed properties:
* N(E_F): 4.62 states/eV/cell
* total magnetization: 2.102 μB per cell
* calculated formation energy: 9 kJ/mol of atoms

Lattice parameters (Å, degrees): 2.861 3.262 5.700 90.00 90.00 90.00
Space group Pmm2 (No. 25)
One atom of each set of equivalent atoms:
In  0.000  0.000  0.000 (multiplicity 1)
Co  0.500  0.500  0.705 (multiplicity 1)
Ni  0.000  0.000  0.503 (multiplicity 1)
Ni  0.500  0.500  0.275 (multiplicity 1)

The following is a PBE-GGA calculation of an optimized crystal structure of In2Co2Ni, from the Alexandria database.

Computed properties:
* N(E_F): 8.27 states/eV/cell
* total magnetization: 2.132 μB per cell
* calculated formation energy: 16 kJ/mol of atoms

Lattice parameters (Å, degrees): 6.213 6.213 3.944 90.00 90.00 90.00
Space group P4/mbm (No. 127)
One atom of each set of equivalent atoms:
In  0.177  0.323  0.000 (multiplicity 4)
Co  0.128  0.628  0.500 (multiplicity 4)
Ni  0.000  0.000  0.500 (multiplicity 2)

The following is a PBE-GGA calculation of an optimized crystal structure of InCoNi2, from the Alexandria database.

Computed properties:
* N(E_F): 13.75 states/eV/cell
* total magnetization: 5.981 μB per cell
* calculated formation energy: 34 kJ/mol of atoms

Lattice parameters (Å, degrees): 2.7854 2.7854 24.5166 90.00 90.00 120.00
Space group R3m (No. 160, hexagonal axes)
One atom of each set of equivalent atoms:
In  0.0000  0.0000  0.0000 (multiplicity 3)
Co  0.0000  0.0000  0.7577 (multiplicity 3)
Ni  0.0000  0.0000  0.2447 (multiplicity 3)
Ni  0.0000  0.0000  0.4999 (multiplicity 3)

The following is a PBE-GGA calculation of an optimized crystal structure of InCoNi2, from the Alexandria database.

Computed properties:
* N(E_F): 4.32 states/eV/cell
* total magnetization: 2.108 μB per cell
* calculated formation energy: 12 kJ/mol of atoms

Lattice parameters (Å, degrees): 2.757 4.244 4.560 90.00 90.00 90.00
Space group Pmm2 (No. 25)
One atom of each set of equivalent atoms:
In  0.000  0.000  0.000 (multiplicity 1)
Co  0.000  0.500  0.376 (multiplicity 1)
Ni  0.500  0.000  0.497 (multiplicity 1)
Ni  0.500  0.500  0.826 (multiplicity 1)

The following is a PBE-GGA calculation of an optimized crystal structure of InCoNi, from the Alexandria database.

Computed properties:
* N(E_F): 5.31 states/eV/cell
* energy above the most stable polymorph in this dataset: 52 meV per atom
* total magnetization: 1.660 μB per cell
* calculated formation energy: 18 kJ/mol of atoms

Lattice parameters (Å, degrees): 4.1784 4.1784 2.8325 90.00 90.00 120.00
Space group P-6m2 (No. 187)
One atom of each set of equivalent atoms:
In  0.0000  0.0000  0.0000 (multiplicity 1)
Co  0.3333  0.6667  0.5000 (multiplicity 1)
Ni  0.6667  0.3333  0.5000 (multiplicity 1)

The following is a PBE-GGA calculation of an optimized crystal structure of InCoNi2, from the Alexandria database.

Computed properties:
* N(E_F): 5.09 states/eV/cell
* total magnetization: 1.863 μB per cell
* calculated formation energy: 7 kJ/mol of atoms

Lattice parameters (Å, degrees): 3.756 3.756 3.732 90.00 90.00 90.00
Space group P4/mmm (No. 123)
One atom of each set of equivalent atoms:
In  0.000  0.000  0.000 (multiplicity 1)
Co  0.500  0.500  0.000 (multiplicity 1)
Ni  0.000  0.500  0.500 (multiplicity 2)